Entry from the Alexandria database: crystalline ZnAgSn at its relaxed geometry (PBE).

Lattice parameters (Å, degrees): 4.9236 4.9236 4.9236 133.64 133.64 67.66
Fractional coordinates of all 3 atoms:
1 Zn 0.0000 0.0000 0.0000
2 Ag 0.6755 0.6755 0.0000
3 Sn 0.3342 0.3342 0.0000

Symmetry: I4mm
VASP energy, eV per atom: -2.630